First-principles (meta-GGA SCAN) data for a PBEsol-optimized structure of BeAlFe2Pt, as listed in the Alexandria database.

Lattice parameters (Å, degrees): 4.655 4.655 4.112 90.00 90.00 90.00
Fractional coordinates of all 5 atoms:
Be: 0.000 0.000 0.000
Al: 0.500 0.500 0.000
Fe: 0.000 0.500 0.500
Fe: 0.500 0.000 0.500
Pt: 0.000 0.000 0.500

Results
DOS at the Fermi energy   4.085 states/eV/cell
Energy of formation from the pure elements   3.1 eV/f.u.